Density functional theory data (PBE) for In2TeI after structural relaxation.

Values from the calculation:
Energy relative to the lowest polymorph listed for this composition = 0.132 eV per atom
Energy relative to the elements, uncorrected = -0.18 eV per atom
Space group = Fm-3m
Electronic total energy = -0.2001 Ry/atom
Density of states at the Fermi level = 2.7 states/eV per cell
Density = 6.2 g cm⁻³

```
In2TeI
1.0
0.000 4.007 4.007
4.007 0.000 4.007
4.007 4.007 0.000
In Te I
2 1 1
Cartesian
6.010 6.010 6.010
2.003 2.003 2.003
0.000 0.000 0.000
4.007 4.007 4.007
```